The following is a PBE+U calculation of a relaxed structure of RbNiO3, from the Alexandria database.

Results
The value obtained for the total moment is 0.405 μB/atom. For the density of states at the Fermi level, the calculation gives 6.66 states/eV/cell. As for the calculated total energy: -2.0855 eV/atom.

Cell and atoms, written as extended XYZ:
```
5
Lattice="4.241 0.000 0.000 0.000 4.241 0.000 0.000 0.000 4.241" Properties=species:S:1:pos:R:3 pbc="T T T"
Rb 0.000 0.000 0.000
Ni 2.120 2.120 2.120
O 0.000 0.000 2.120
O 0.000 2.120 0.000
O 2.120 0.000 0.000
```

---

The following is a PBE+U calculation of a relaxed structure of RbNiO3, from the Alexandria database.

Results
The value obtained for the total moment is 0.696 μB/atom. For the density of states at the Fermi level, the calculation gives 4.15 states/eV/cell. As for the calculated total energy: -3.9899 eV/atom.

Cell and atoms, written as extended XYZ:
```
5
Lattice="3.952 0.000 0.000 0.000 3.952 0.000 0.000 0.000 3.952" Properties=species:S:1:pos:R:3 pbc="T T T"
Rb 0.000 0.000 0.000
Ni 1.976 1.976 1.976
O 0.000 1.976 1.976
O 1.976 0.000 1.976
O 1.976 1.976 0.000
```

---

The following is a PBE+U calculation of a relaxed structure of Rb3NiO3, from the Alexandria database.

Results
The value obtained for the total moment is 0.438 μB/atom. For the density of states at the Fermi level, the calculation gives 0.00 states/eV/cell. As for the calculated total energy: -3.9760 eV/atom.

Cell and atoms, written as extended XYZ:
```
14
Lattice="4.711 -5.714 0.000 4.711 5.714 0.000 0.000 0.000 5.847" Properties=species:S:1:pos:R:3 pbc="T T T"
Rb 4.711 4.509 4.385
Rb 2.753 1.339 4.385
Rb 2.753 -1.339 1.462
Rb 6.668 1.339 4.385
Rb 6.668 -1.339 1.462
Rb 4.711 -4.509 1.462
Ni 4.711 2.308 1.462
Ni 4.711 -2.308 4.385
O 4.711 4.157 1.462
O 3.107 1.585 1.462
O 3.107 -1.585 4.385
O 6.314 1.585 1.462
O 6.314 -1.585 4.385
O 4.711 -4.157 4.385
```

---

The following is a PBE+U calculation of a relaxed structure of Rb4NiO4, from the Alexandria database.

Results
The value obtained for the total moment is 0.453 μB/atom. As for the calculated total energy: -3.8956 eV/atom.

Cell and atoms, written as extended XYZ:
```
18
Lattice="7.874 0.000 0.000 0.000 7.874 0.000 0.000 0.000 6.100" Properties=species:S:1:pos:R:3 pbc="T T T"
Rb 0.240 1.969 0.674
Rb 1.969 0.240 3.725
Rb 1.969 3.697 3.725
Rb 3.697 1.969 0.674
Rb 4.177 5.906 5.426
Rb 5.906 4.177 2.376
Rb 5.906 7.634 2.376
Rb 7.634 5.906 5.426
Ni 1.969 5.906 1.525
Ni 5.906 1.969 4.575
O 0.443 5.906 2.553
O 1.969 4.380 0.498
O 1.969 7.432 0.498
O 3.494 5.906 2.553
O 4.380 1.969 3.548
O 5.906 0.443 5.603
O 5.906 3.494 5.603
O 7.432 1.969 3.548
```

---

The following is a PBE+U calculation of a relaxed structure of Rb2Ni2O3, from the Alexandria database.

Results
The value obtained for the total moment is 0.571 μB/atom. As for the calculated total energy: -4.1314 eV/atom.

Cell and atoms, written as extended XYZ:
```
7
Lattice="5.666 -1.915 0.000 5.666 1.915 0.000 -1.922 0.000 5.816" Properties=species:S:1:pos:R:3 pbc="T T T"
Rb 0.569 0.000 1.877
Rb 8.840 0.000 3.939
Ni 3.778 0.000 0.421
Ni 5.631 0.000 5.395
O 0.442 0.000 4.821
O 5.666 0.000 0.000
O 8.967 0.000 0.995
```

---

The following is a PBE+U calculation of a relaxed structure of Rb2Ni2O3, from the Alexandria database.

Results
The value obtained for the total moment is 0.571 μB/atom. For the density of states at the Fermi level, the calculation gives 0.00 states/eV/cell. As for the calculated total energy: -4.1550 eV/atom.

Cell and atoms, written as extended XYZ:
```
28
Lattice="11.777 0.000 0.000 0.000 6.182 0.000 0.000 0.000 7.928" Properties=species:S:1:pos:R:3 pbc="T T T"
Rb 0.708 1.546 1.066
Rb 1.543 4.637 3.959
Rb 4.346 1.546 7.923
Rb 5.180 4.637 5.030
Rb 6.597 1.546 2.898
Rb 7.432 4.637 0.005
Rb 10.234 1.546 3.969
Rb 11.069 4.637 6.862
Ni 1.609 1.546 5.722
Ni 2.672 4.637 7.270
Ni 3.217 1.546 3.306
Ni 4.279 4.637 1.758
Ni 7.498 1.546 6.170
Ni 8.560 4.637 4.622
Ni 9.105 1.546 0.658
Ni 10.168 4.637 2.206
O 1.427 1.546 3.858
O 1.782 3.097 6.723
O 1.782 6.176 6.723
O 4.106 0.006 2.759
O 4.106 3.085 2.759
O 4.461 4.637 7.822
O 7.316 1.546 0.106
O 7.671 3.097 5.169
O 7.671 6.176 5.169
O 9.995 0.006 1.205
O 9.995 3.085 1.205
O 10.350 4.637 4.070
```

---

The following is a PBE+U calculation of a relaxed structure of Rb3Ni5O12, from the Alexandria database.

Results
The value obtained for the total moment is 1.052 μB/atom. For the density of states at the Fermi level, the calculation gives 57.02 states/eV/cell. As for the calculated total energy: -4.1271 eV/atom.

Cell and atoms, written as extended XYZ:
```
80
Lattice="-6.719 6.719 6.719 6.719 -6.719 6.719 6.719 6.719 -6.719" Properties=species:S:1:pos:R:3 pbc="T T T"
Rb 3.359 1.680 0.000
Rb 6.719 3.359 -1.680
Rb 1.680 0.000 3.359
Rb 8.398 0.000 3.359
Rb 0.000 3.359 1.680
Rb 3.359 -1.680 6.719
Rb 3.359 8.398 0.000
Rb 6.719 3.359 5.039
Rb -1.680 6.719 3.359
Rb 5.039 6.719 3.359
Rb 0.000 3.359 8.398
Rb 3.359 5.039 6.719
Ni 0.000 0.000 0.000
Ni 3.359 3.359 -3.359
Ni 3.359 -3.359 3.359
Ni 6.719 0.000 0.000
Ni 10.078 1.680 0.000
Ni 6.719 -3.359 5.039
Ni 5.039 6.719 -3.359
Ni 5.039 0.000 3.359
Ni 3.359 5.039 0.000
Ni 6.719 3.359 1.680
Ni -3.359 3.359 3.359
Ni 0.000 6.719 0.000
Ni 0.000 0.000 6.719
Ni 3.359 3.359 3.359
Ni 0.000 3.359 5.039
Ni 3.359 1.680 6.719
Ni 1.680 6.719 3.359
Ni 1.680 0.000 10.078
Ni 0.000 10.078 1.680
Ni -3.359 5.039 6.719
O 5.296 -3.785 3.981
O 11.501 0.621 -0.426
O 8.655 0.621 0.426
O 8.142 -2.934 3.981
O 9.652 2.738 -1.423
O 7.145 -4.782 6.098
O 3.981 5.296 -3.785
O 6.098 -0.426 1.936
O 6.098 7.145 -4.782
O 3.981 -1.423 3.785
O 3.785 3.981 -1.423
O 6.293 1.936 0.621
O 10.504 2.738 1.423
O 6.293 -1.936 6.098
O 6.098 6.293 -1.936
O 3.981 1.423 2.934
O 3.981 8.142 -2.934
O 6.098 0.426 4.782
O 2.934 3.981 1.423
O 7.145 4.782 0.621
O 1.936 6.098 -0.426
O 8.142 2.934 2.738
O 4.782 6.098 0.426
O 5.296 3.785 2.738
O 1.423 2.934 3.981
O 1.936 0.621 6.293
O -1.423 3.785 3.981
O 4.782 0.621 7.145
O -0.426 1.936 6.098
O 3.785 2.738 5.296
O 0.621 6.293 1.936
O 2.738 -1.423 9.652
O 2.738 5.296 3.785
O 0.621 0.426 8.655
O 0.426 8.655 0.621
O -3.785 3.981 5.296
O 0.426 4.782 6.098
O 2.934 2.738 8.142
O 2.738 8.142 2.934
O 0.621 -0.426 11.501
O 0.621 7.145 4.782
O 2.738 1.423 10.504
O -0.426 11.501 0.621
O -2.934 3.981 8.142
O -1.423 9.652 2.738
O -1.936 6.098 6.293
O -4.782 6.098 7.145
O 1.423 10.504 2.738
```

---

The following is a PBE+U calculation of a relaxed structure of RbNi2O, from the Alexandria database.

Results
The value obtained for the total moment is 0.258 μB/atom. For the density of states at the Fermi level, the calculation gives 2.01 states/eV/cell. As for the calculated total energy: -2.7912 eV/atom.

Cell and atoms, written as extended XYZ:
```
8
Lattice="-2.962 2.962 4.698 2.962 -2.962 4.698 2.962 2.962 -4.698" Properties=species:S:1:pos:R:3 pbc="T T T"
Rb 2.962 1.481 1.174
Rb 0.000 1.481 3.523
Ni 0.000 0.000 0.000
Ni 1.481 1.481 -2.349
Ni 1.481 -1.481 2.349
Ni 0.000 2.962 0.000
O 2.962 -1.481 3.523
O 0.000 4.442 1.174
```